Material: Sr2LiAl
Method: DFT, SCAN
State: PBEsol geometry

The space group is Amm2 (No. 38) and the conventional cell measures 5.1346, 4.2480 and 12.3111 Å, with angles of 90.00, 90.00 and 90.00 degrees. The asymmetric unit holds Sr at (0.0000, 0.0000, 0.0000), Sr at (0.5000, 0.0000, 0.2915), Li at (0.5000, 0.0000, 0.5939) and Al at (0.0000, 0.0000, 0.7120).

The energy relative to the elements is -0.048 eV per atom.